Entry 1:
The following is a DFT calculation (PBE) of BaS2N4 after structural relaxation.

Cell: 6.7030 6.7030 6.7030 Å, 137.89 137.89 61.07°
Positions (direct):
Ba  0.0000  0.0000  0.0000
S  0.3807  0.3807  0.0000
S  0.6193  0.6193  0.0000
N  0.0000  0.5000  0.5000
N  0.2543  0.2543  0.0000
N  0.5000  0.0000  0.5000
N  0.7457  0.7457  0.0000

Spin magnetization = 0.00 μB/f.u.
V = 134 Å³/cell
Electronic total energy = -0.37191 Ry/atom
E_form (uncorrected) = 1.151 eV per atom
Theoretical density = 3.19 g/cm³
Space group = No. 139

=====

Entry 2:
The following is a DFT calculation (PBE) of BaSN after structural relaxation.

Cell: 5.5242 5.5242 6.4396 Å, 90.36 90.36 60.76°
Positions (direct):
Ba  0.1693  0.1693  0.2483
Ba  0.8307  0.8307  0.7517
S  0.1663  0.1663  0.7592
S  0.8337  0.8337  0.2408
N  0.4483  0.4483  0.4584
N  0.5517  0.5517  0.5416

Spin magnetization = 0.00 μB/f.u.
V = 171 Å³/cell
Electronic total energy = -0.44515 Ry/atom
E_form (uncorrected) = -1.265 eV per atom
Theoretical density = 3.55 g/cm³
Space group = No. 12
Energy relative to the lowest polymorph listed for this composition = 20 meV/atom

=====

Entry 3:
The following is a DFT calculation (PBE) of Ba8SN4 after structural relaxation.

Cell: 11.2458 11.2458 15.3176 Å, 130.57 130.57 20.38°
Positions (direct):
Ba  0.0000  0.0000  0.0000
Ba  0.0010  0.0010  0.2390
Ba  0.3083  0.3083  0.9285
Ba  0.3133  0.3133  0.6964
Ba  0.3478  0.3478  0.2736
Ba  0.5711  0.5711  0.5490
Ba  0.6917  0.6917  0.3264
Ba  0.9025  0.9025  0.5323
S  0.8207  0.8207  0.0930
N  0.2962  0.2962  0.3938
N  0.5204  0.5204  0.1389
N  0.8422  0.8422  0.8300
N  0.9719  0.9719  0.4452

Spin magnetization = 0.32 μB/f.u.
V = 506 Å³/cell
Electronic total energy = -0.33822 Ry/atom
E_form (uncorrected) = -0.539 eV per atom
Theoretical density = 3.89 g/cm³
Space group = No. 8